A:
# GGA-PBE TlGaC2, optimized geometry
# V = 250 Å³ per cell
# Magnetic moment = 0.00 μB/f.u.
data_TlGaC2
_space_group_name_H-M_alt 'I -4 2 d'
_space_group_IT_number 122
_space_group_name_Hall 'I -4 2bw'
_cell_length_a 5.023
_cell_length_b 5.023
_cell_length_c 9.926
_cell_angle_alpha 90.00
_cell_angle_beta 90.00
_cell_angle_gamma 90.00
loop_
_atom_site_label
_atom_site_type_symbol
_atom_site_fract_x
_atom_site_fract_y
_atom_site_fract_z
_atom_site_occupancy
Tl1 Tl 0.000 0.000 0.000 1
Ga1 Ga 0.000 0.000 0.500 1
C1 C 0.201 0.250 0.625 1

B:
# GGA-PBE TlGaC2, optimized geometry
# V = 225 Å³ per cell
# Magnetic moment = 0.00 μB/f.u.
data_TlGaC2
_space_group_name_H-M_alt 'F m -3 m'
_space_group_IT_number 225
_space_group_name_Hall '-F 4 2 3'
_cell_length_a 6.083
_cell_length_b 6.083
_cell_length_c 6.083
_cell_angle_alpha 90.00
_cell_angle_beta 90.00
_cell_angle_gamma 90.00
loop_
_atom_site_label
_atom_site_type_symbol
_atom_site_fract_x
_atom_site_fract_y
_atom_site_fract_z
_atom_site_occupancy
Tl1 Tl 0.000 0.000 0.000 1
Ga1 Ga 0.000 0.000 0.500 1
C1 C 0.250 0.250 0.250 1

Which one is most stable, and which one is least stable? A is the most stable of them, while B is the least stable.

A:
# GGA-PBE TlGa3C, optimized geometry
# V = 162 Å³ per cell
# Magnetic moment = 1.96 μB/f.u.
data_TlGa3C
_space_group_name_H-M_alt 'P m -3 m'
_space_group_IT_number 221
_space_group_name_Hall '-P 4 2 3'
_cell_length_a 5.446
_cell_length_b 5.446
_cell_length_c 5.446
_cell_angle_alpha 90.00
_cell_angle_beta 90.00
_cell_angle_gamma 90.00
loop_
_atom_site_label
_atom_site_type_symbol
_atom_site_fract_x
_atom_site_fract_y
_atom_site_fract_z
_atom_site_occupancy
Tl1 Tl 0.000 0.000 0.000 1
Ga1 Ga 0.000 0.000 0.500 1
C1 C 0.500 0.500 0.500 1

B:
# GGA-PBE TlGa3C, optimized geometry
# V = 91 Å³ per cell
# Magnetic moment = 0.00 μB/f.u.
data_TlGa3C
_space_group_name_H-M_alt 'P m -3 m'
_space_group_IT_number 221
_space_group_name_Hall '-P 4 2 3'
_cell_length_a 4.496
_cell_length_b 4.496
_cell_length_c 4.496
_cell_angle_alpha 90.00
_cell_angle_beta 90.00
_cell_angle_gamma 90.00
loop_
_atom_site_label
_atom_site_type_symbol
_atom_site_fract_x
_atom_site_fract_y
_atom_site_fract_z
_atom_site_occupancy
Tl1 Tl 0.000 0.000 0.000 1
Ga1 Ga 0.000 0.500 0.500 1
C1 C 0.500 0.500 0.500 1

Which one is most stable, and which one is least stable? B is the most stable of them, while A is the least stable.